*P*
Here is TlBiTe after structural relaxation from the Alexandria database. Energies are from GGA-PBE.

Output
Density of states at the Fermi level in states/eV per cell: 1.8

Cell: 4.281 5.143 10.740 Å, 78.58 78.56 89.97°
Space group P1 (No. 1)
Symmetry-distinct sites (fractional):
Tl 0.000 0.000 0.000 [1 per cell]
Tl 0.104 0.609 0.776 [1 per cell]
Bi 0.248 0.301 0.498 [1 per cell]
Bi 0.861 0.548 0.273 [1 per cell]
Te 0.466 0.438 0.062 [1 per cell]
Te 0.732 0.811 0.522 [1 per cell]

---

*Q*
Here is TlBiTe after structural relaxation from the Alexandria database. Energies are from GGA-PBE.

Output
Density of states at the Fermi level in states/eV per cell: 1.4

Cell: 5.2216 5.2216 4.5008 Å, 90.00 90.00 120.00°
Space group P3m1 (No. 156)
Symmetry-distinct sites (fractional):
Tl 0.0000 0.0000 0.0000 [1 per cell]
Bi 0.3333 0.6667 0.4107 [1 per cell]
Te 0.6667 0.3333 0.5849 [1 per cell]

---

Most favorable first, least favorable last: *P*, *Q*

---

*P*
Here is Tm3Bi2Te after structural relaxation from the Alexandria database. Energies are from GGA-PBE.

Output
Density of states at the Fermi level in states/eV per cell: 16.6

Cell: 4.301 15.664 10.221 Å, 90.00 90.00 90.00°
Space group Cmcm (No. 63)
Symmetry-distinct sites (fractional):
Tm 0.000 0.144 0.250 [4 per cell]
Tm 0.000 0.337 0.037 [8 per cell]
Bi 0.000 0.000 0.000 [4 per cell]
Bi 0.000 0.498 0.250 [4 per cell]
Te 0.000 0.221 0.750 [4 per cell]

---

*Q*
Here is Tm3Bi2Te after structural relaxation from the Alexandria database. Energies are from GGA-PBE.

Output
Density of states at the Fermi level in states/eV per cell: 11.8

Cell: 18.607 6.212 6.212 Å, 90.00 90.00 90.00°
Space group Cmcm (No. 63)
Symmetry-distinct sites (fractional):
Tm 0.000 0.248 0.250 [4 per cell]
Tm 0.167 0.250 0.750 [8 per cell]
Bi 0.166 0.250 0.250 [8 per cell]
Te 0.000 0.251 0.750 [4 per cell]

---

Most favorable first, least favorable last: *Q*, *P*

---

*P*
Here is V2BiTe after structural relaxation from the Alexandria database. Energies are from GGA-PBE.

Output
Density of states at the Fermi level in states/eV per cell: 20.1

Cell: 6.744 6.744 6.744 Å, 90.00 90.00 90.00°
Space group Fm-3m (No. 225)
Symmetry-distinct sites (fractional):
V 0.250 0.250 0.250 [8 per cell]
Bi 0.000 0.000 0.000 [4 per cell]
Te 0.000 0.000 0.500 [4 per cell]

---

*Q*
Here is V2BiTe after structural relaxation from the Alexandria database. Energies are from GGA-PBE.

Output
Density of states at the Fermi level in states/eV per cell: 10.3

Cell: 6.333 6.333 12.384 Å, 90.00 90.00 90.00°
Space group I-42d (No. 122)
Symmetry-distinct sites (fractional):
V 0.241 0.250 0.125 [8 per cell]
Bi 0.000 0.000 0.500 [4 per cell]
Te 0.000 0.000 0.000 [4 per cell]

---

Most favorable first, least favorable last: *P*, *Q*

---

*P*
Here is BiTeW2 after structural relaxation from the Alexandria database. Energies are from GGA-PBE.

Output
Density of states at the Fermi level in states/eV per cell: 20.8

Cell: 6.285 6.285 12.421 Å, 90.00 90.00 90.00°
Space group I-42d (No. 122)
Symmetry-distinct sites (fractional):
Bi 0.000 0.000 0.000 [4 per cell]
Te 0.000 0.000 0.500 [4 per cell]
W 0.235 0.250 0.625 [8 per cell]

---

*Q*
Here is BiTeW2 after structural relaxation from the Alexandria database. Energies are from GGA-PBE.

Output
Density of states at the Fermi level in states/eV per cell: 17.7

Cell: 6.775 6.775 6.775 Å, 90.00 90.00 90.00°
Space group Fm-3m (No. 225)
Symmetry-distinct sites (fractional):
Bi 0.000 0.000 0.000 [4 per cell]
Te 0.000 0.000 0.500 [4 per cell]
W 0.250 0.250 0.250 [8 per cell]

---

Most favorable first, least favorable last: *Q*, *P*

---

*P*
Here is YBiTe3 after structural relaxation from the Alexandria database. Energies are from GGA-PBE.

Output
Density of states at the Fermi level in states/eV per cell: 6.1

Cell: 5.802 5.802 5.802 Å, 90.00 90.00 90.00°
Space group Pm-3m (No. 221)
Symmetry-distinct sites (fractional):
Y 0.000 0.000 0.000 [1 per cell]
Bi 0.500 0.500 0.500 [1 per cell]
Te 0.000 0.000 0.500 [3 per cell]

---

*Q*
Here is YBiTe3 after structural relaxation from the Alexandria database. Energies are from GGA-PBE.

Cell: 4.4070 4.4070 31.9691 Å, 90.00 90.00 120.00°
Space group R3m (No. 160, hexagonal axes)
Symmetry-distinct sites (fractional):
Y 0.0000 0.0000 0.0000 [3 per cell]
Bi 0.0000 0.0000 0.7955 [3 per cell]
Te 0.0000 0.0000 0.1820 [3 per cell]
Te 0.0000 0.0000 0.3940 [3 per cell]
Te 0.0000 0.0000 0.6161 [3 per cell]

---

*R*
Here is YBiTe3 after structural relaxation from the Alexandria database. Energies are from GGA-PBE.

Cell: 8.154 4.542 11.977 Å, 90.00 105.75 90.00°
Space group P2_1/m (No. 11)
Symmetry-distinct sites (fractional):
Y 0.015 0.250 0.336 [2 per cell]
Bi 0.482 0.250 0.829 [2 per cell]
Te 0.180 0.750 0.240 [2 per cell]
Te 0.205 0.250 0.596 [2 per cell]
Te 0.283 0.750 0.903 [2 per cell]

---

Most favorable first, least favorable last: *Q*, *R*, *P*

---

*P*
Here is Y2BiTe after structural relaxation from the Alexandria database. Energies are from GGA-PBE.

Output
Density of states at the Fermi level in states/eV per cell: 15.6

Cell: 7.699 7.699 7.699 Å, 90.00 90.00 90.00°
Space group Fm-3m (No. 225)
Symmetry-distinct sites (fractional):
Y 0.250 0.250 0.250 [8 per cell]
Bi 0.000 0.000 0.000 [4 per cell]
Te 0.000 0.000 0.500 [4 per cell]

---

*Q*
Here is Y2BiTe after structural relaxation from the Alexandria database. Energies are from GGA-PBE.

Output
Density of states at the Fermi level in states/eV per cell: 3.8

Cell: 7.679 4.436 7.643 Å, 90.00 109.63 90.00°
Space group C2/m (No. 12)
Symmetry-distinct sites (fractional):
Y 0.250 0.000 0.249 [4 per cell]
Bi 0.000 0.500 0.000 [2 per cell]
Te 0.000 0.000 0.500 [2 per cell]

---

Most favorable first, least favorable last: *Q*, *P*

---

*P*
Here is Y2BiTe after structural relaxation from the Alexandria database. Energies are from GGA-PBE.

Output
Density of states at the Fermi level in states/eV per cell: 4.3

Cell: 7.403 7.817 4.288 Å, 90.00 90.00 90.00°
Space group Pnnm (No. 58)
Symmetry-distinct sites (fractional):
Y 0.166 0.249 0.000 [4 per cell]
Bi 0.000 0.000 0.500 [2 per cell]
Te 0.000 0.500 0.500 [2 per cell]

---

*Q*
Here is Y2BiTe after structural relaxation from the Alexandria database. Energies are from GGA-PBE.

Output
Density of states at the Fermi level in states/eV per cell: 9.8

Cell: 4.3332 4.3332 22.9626 Å, 90.00 90.00 120.00°
Space group R3m (No. 160, hexagonal axes)
Symmetry-distinct sites (fractional):
Y 0.0000 0.0000 0.0000 [3 per cell]
Y 0.0000 0.0000 0.1734 [3 per cell]
Bi 0.0000 0.0000 0.5850 [3 per cell]
Te 0.0000 0.0000 0.7544 [3 per cell]

---

*R*
Here is Y2BiTe after structural relaxation from the Alexandria database. Energies are from GGA-PBE.

Output
Density of states at the Fermi level in states/eV per cell: 13.5

Cell: 6.957 6.957 14.009 Å, 90.00 90.00 90.00°
Space group I-42d (No. 122)
Symmetry-distinct sites (fractional):
Y 0.249 0.250 0.125 [8 per cell]
Bi 0.000 0.000 0.500 [4 per cell]
Te 0.000 0.000 0.000 [4 per cell]

---

Most favorable first, least favorable last: *Q*, *P*, *R*

---

*P*
Here is Y5Bi4Te after structural relaxation from the Alexandria database. Energies are from GGA-PBE.

Output
Density of states at the Fermi level in states/eV per cell: 5.4

Cell: 9.970 9.970 6.310 Å, 90.00 90.00 90.00°
Space group I4/m (No. 87)
Symmetry-distinct sites (fractional):
Y 0.000 0.000 0.000 [2 per cell]
Y 0.101 0.699 0.500 [8 per cell]
Bi 0.100 0.701 0.000 [8 per cell]
Te 0.000 0.000 0.500 [2 per cell]

---

*Q*
Here is Y5Bi4Te after structural relaxation from the Alexandria database. Energies are from GGA-PBE.

Output
Density of states at the Fermi level in states/eV per cell: 7.1

Cell: 4.461 6.306 22.315 Å, 90.00 90.00 90.00°
Space group Immm (No. 71)
Symmetry-distinct sites (fractional):
Y 0.000 0.000 0.000 [2 per cell]
Y 0.000 0.000 0.200 [4 per cell]
Y 0.000 0.000 0.399 [4 per cell]
Bi 0.000 0.500 0.199 [4 per cell]
Bi 0.000 0.500 0.401 [4 per cell]
Te 0.000 0.500 0.000 [2 per cell]

---

Most favorable first, least favorable last: *P*, *Q*

---

*P*
Here is Zn2BiTe after structural relaxation from the Alexandria database. Energies are from GGA-PBE.

Output
Density of states at the Fermi level in states/eV per cell: 8.2

Cell: 6.363 6.363 12.145 Å, 90.00 90.00 90.00°
Space group I-42d (No. 122)
Symmetry-distinct sites (fractional):
Zn 0.241 0.250 0.125 [8 per cell]
Bi 0.000 0.000 0.500 [4 per cell]
Te 0.000 0.000 0.000 [4 per cell]

---

*Q*
Here is Zn2BiTe after structural relaxation from the Alexandria database. Energies are from GGA-PBE.

Output
Density of states at the Fermi level in states/eV per cell: 8.5

Cell: 7.242 7.242 7.242 Å, 90.00 90.00 90.00°
Space group Fm-3m (No. 225)
Symmetry-distinct sites (fractional):
Zn 0.250 0.250 0.250 [8 per cell]
Bi 0.000 0.000 0.000 [4 per cell]
Te 0.000 0.000 0.500 [4 per cell]

---

Most favorable first, least favorable last: *P*, *Q*

---

*P*
Here is ZnBi2Te2 after structural relaxation from the Alexandria database. Energies are from GGA-PBE.

Output
Density of states at the Fermi level in states/eV per cell: 4.5

Cell: 8.471 8.471 4.397 Å, 90.00 90.00 90.00°
Space group P4/mbm (No. 127)
Symmetry-distinct sites (fractional):
Zn 0.000 0.000 0.000 [2 per cell]
Bi 0.176 0.324 0.000 [4 per cell]
Te 0.150 0.650 0.500 [4 per cell]

---

*Q*
Here is ZnBi2Te2 after structural relaxation from the Alexandria database. Energies are from GGA-PBE.

Output
Density of states at the Fermi level in states/eV per cell: 9.5

Cell: 8.453 8.453 4.305 Å, 90.00 90.00 90.00°
Space group P4/mbm (No. 127)
Symmetry-distinct sites (fractional):
Zn 0.000 0.000 0.000 [2 per cell]
Bi 0.143 0.357 0.500 [4 per cell]
Te 0.166 0.666 0.000 [4 per cell]

---

Most favorable first, least favorable last: *P*, *Q*

---

*P*
Here is Zr2BiTe after structural relaxation from the Alexandria database. Energies are from GGA-PBE.

Output
Density of states at the Fermi level in states/eV per cell: 3.1

Cell: 3.597 3.597 7.308 Å, 90.00 90.00 90.00°
Space group P4/mmm (No. 123)
Symmetry-distinct sites (fractional):
Zr 0.000 0.000 0.243 [2 per cell]
Bi 0.500 0.500 0.500 [1 per cell]
Te 0.500 0.500 0.000 [1 per cell]

---

*Q*
Here is Zr2BiTe after structural relaxation from the Alexandria database. Energies are from GGA-PBE.

Output
Density of states at the Fermi level in states/eV per cell: 20.8

Cell: 6.604 6.604 13.180 Å, 90.00 90.00 90.00°
Space group I-42d (No. 122)
Symmetry-distinct sites (fractional):
Zr 0.242 0.250 0.125 [8 per cell]
Bi 0.000 0.000 0.500 [4 per cell]
Te 0.000 0.000 0.000 [4 per cell]

---

*R*
Here is Zr2BiTe after structural relaxation from the Alexandria database. Energies are from GGA-PBE.

Output
Density of states at the Fermi level in states/eV per cell: 11.0

Cell: 7.832 7.292 7.227 Å, 90.00 90.04 90.00°
Space group P2_1/c (No. 14)
Symmetry-distinct sites (fractional):
Zr 0.117 0.188 0.494 [4 per cell]
Zr 0.362 0.689 0.004 [4 per cell]
Bi 0.378 0.079 0.202 [4 per cell]
Te 0.124 0.573 0.296 [4 per cell]

---

Most favorable first, least favorable last: *R*, *P*, *Q*